# 1
## V12Ge6B (PBE)

Data for V12Ge6B after structural relaxation.

Cell: 6.6914 6.6914 6.6914 Å, 100.84 100.84 100.84°
Last column: nearest neighbours and their distance in Å.
Fractional coordinates of all 19 atoms:
V1 0.0300 0.3187 0.0587  1 B 2.06
V2 0.0587 0.0300 0.3187  1 B 2.06
V3 0.2079 0.4054 0.5011  4 Ge 2.47-2.72, 3 V 2.50-2.67
V4 0.3187 0.0587 0.0300  1 B 2.06
V5 0.4054 0.5011 0.2079  4 Ge 2.47-2.72, 3 V 2.50-2.67
V6 0.4989 0.7921 0.5946  4 Ge 2.47-2.72, 3 V 2.50-2.67
V7 0.5011 0.2079 0.4054  4 Ge 2.47-2.72, 3 V 2.50-2.67
V8 0.5946 0.4989 0.7921  4 Ge 2.47-2.72, 3 V 2.50-2.67
V9 0.6813 0.9413 0.9700  1 B 2.06
V10 0.7921 0.5946 0.4989  4 Ge 2.47-2.72, 3 V 2.50-2.67
V11 0.9413 0.9700 0.6813  1 B 2.06
V12 0.9700 0.6813 0.9413  1 B 2.06
Ge1 0.1150 0.6806 0.3280  7 V 2.45-2.72
Ge2 0.3194 0.6720 0.8850  7 V 2.45-2.72
Ge3 0.3280 0.1150 0.6806  7 V 2.45-2.72
Ge4 0.6720 0.8850 0.3194  7 V 2.45-2.72
Ge5 0.6806 0.3280 0.1150  7 V 2.45-2.72
Ge6 0.8850 0.3194 0.6720  7 V 2.45-2.72
B1 0.0000 0.0000 0.0000  6 V 2.06

Summary:
* ΔE_f: 0.027 eV/atom
* total moment: 0.00 μB per atom

***

# 2
## ScTlNO2 (PBE)

Data for ScTlNO2 after structural relaxation.

Cell: 4.1627 4.1627 4.4383 Å, 90.00 90.00 90.00°
Last column: nearest neighbours and their distance in Å.
Fractional coordinates of all 5 atoms:
Sc1 0.0000 0.0000 0.0000  4 O 2.08, 2 N 2.22
Tl1 0.5000 0.5000 0.5000  4 N 2.94, 8 O 3.04
N1 0.0000 0.0000 0.5000  2 Sc 2.22
O1 0.0000 0.5000 0.0000  2 Sc 2.08
O2 0.5000 0.0000 0.0000  2 Sc 2.08

Summary:
* ΔE_f (raw): -0.7758 eV per atom
* total moment: 0.56 μB per atom

***

# 3
## Ti2GaMo (PBE)

Data for Ti2GaMo after structural relaxation.

Cell: 3.2589 3.2589 6.0026 Å, 90.00 90.00 90.00°
Last column: nearest neighbours and their distance in Å.
Fractional coordinates of all 4 atoms:
Ti1 0.0000 0.0000 0.2408  4 Mo 2.72, 4 Ga 2.78, 1 Ti 2.89
Ti2 0.0000 0.0000 0.7592  4 Mo 2.72, 4 Ga 2.78, 1 Ti 2.89
Ga1 0.5000 0.5000 0.5000  8 Ti 2.78, 2 Mo 3.00
Mo1 0.5000 0.5000 0.0000  8 Ti 2.72, 2 Ga 3.00

Summary:
* ΔE_f: -0.388 eV/atom
* total moment: 0.00 μB per atom

***

# 4
## Ho3CuS6 (PBE)

Data for Ho3CuS6 after structural relaxation.

Cell: 8.2396 8.2396 6.5770 Å, 90.00 90.00 99.09°
Last column: nearest neighbours and their distance in Å.
Fractional coordinates of all 20 atoms:
Ho1 0.1037 0.8963 0.5000  7 S 2.75-2.95
Ho2 0.2181 0.4168 0.5893  7 S 2.69-2.92
Ho3 0.4168 0.2181 0.0893  7 S 2.69-2.92
Ho4 0.5832 0.7819 0.5893  7 S 2.69-2.92
Ho5 0.7819 0.5832 0.0893  7 S 2.69-2.92
Ho6 0.8963 0.1037 0.0000  7 S 2.75-2.95
Cu1 0.2973 0.7027 0.1322  4 S 2.26-2.31
Cu2 0.7027 0.2973 0.6322  4 S 2.26-2.31
S1 0.0686 0.5933 0.3037  1 Cu 2.26
S2 0.1290 0.1922 0.2959  4 Ho 2.69-2.76
S3 0.1922 0.1290 0.7959  4 Ho 2.69-2.76
S4 0.2853 0.7147 0.7855  1 Cu 2.29
S5 0.4067 0.9314 0.3037  1 Cu 2.26
S6 0.4619 0.5381 0.2888  1 Cu 2.31
S7 0.5381 0.4619 0.7888  1 Cu 2.31
S8 0.5933 0.0686 0.8037  1 Cu 2.26
S9 0.7147 0.2853 0.2855  1 Cu 2.29
S10 0.8078 0.8710 0.2959  4 Ho 2.69-2.76
S11 0.8710 0.8078 0.7959  4 Ho 2.69-2.76
S12 0.9314 0.4067 0.8037  1 Cu 2.26

Summary:
* ΔE_f (raw): -1.4726 eV per atom
* total moment: 0.00 μB per atom

***

# 5
## SrAlFe2 (PBE)

Data for SrAlFe2 after structural relaxation.

Cell: 9.3661 9.3661 9.3661 Å, 151.32 151.32 41.01°
Last column: nearest neighbours and their distance in Å.
Fractional coordinates of all 8 atoms:
Sr1 0.3750 0.6250 0.7500  4 Al 3.28, 8 Fe 3.40
Sr2 0.6250 0.3750 0.2500  4 Al 3.28, 8 Fe 3.40
Al1 0.1250 0.8750 0.2500  4 Fe 2.48
Al2 0.8750 0.1250 0.7500  4 Fe 2.48
Fe1 0.0000 0.0000 0.0000  2 Fe 2.32, 2 Al 2.48
Fe2 0.0000 0.0000 0.5000  2 Fe 2.32, 2 Al 2.48
Fe3 0.0000 0.5000 0.0000  2 Fe 2.32, 2 Al 2.48
Fe4 0.5000 0.0000 0.5000  2 Fe 2.32, 2 Al 2.48

Summary:
* ΔE_f: 0.460 eV/atom
* total moment: 1.09 μB per atom

***

# 6
## KTbPbF6 (PBE)

Data for KTbPbF6 after structural relaxation.

Cell: 5.6133 5.6133 11.5309 Å, 90.00 90.00 90.00°
Last column: nearest neighbours and their distance in Å.
Fractional coordinates of all 18 atoms:
K1 0.0000 0.0000 0.0000  6 F 2.59-2.71
K2 0.5000 0.5000 0.5000  6 F 2.59-2.71
Tb1 0.0000 0.0000 0.6660  6 F 2.21-2.22
Tb2 0.5000 0.5000 0.1660  6 F 2.21-2.22
Pb1 0.0000 0.0000 0.3305  6 F 2.46-2.55
Pb2 0.5000 0.5000 0.8305  6 F 2.46-2.55
F1 0.1745 0.1745 0.5164  1 Tb 2.21
F2 0.1920 0.1920 0.8055  1 Tb 2.22, 1 Pb 2.46
F3 0.2206 0.2206 0.1795  1 Tb 2.22, 1 Pb 2.47
F4 0.2794 0.7206 0.6795  1 Tb 2.22, 1 Pb 2.47
F5 0.3080 0.6920 0.3055  1 Tb 2.22, 1 Pb 2.46
F6 0.3255 0.6745 0.0164  1 Tb 2.21
F7 0.6745 0.3255 0.0164  1 Tb 2.21
F8 0.6920 0.3080 0.3055  1 Tb 2.22, 1 Pb 2.46
F9 0.7206 0.2794 0.6795  1 Tb 2.22, 1 Pb 2.47
F10 0.7794 0.7794 0.1795  1 Tb 2.22, 1 Pb 2.47
F11 0.8080 0.8080 0.8055  1 Tb 2.22, 1 Pb 2.46
F12 0.8255 0.8255 0.5164  1 Tb 2.21

Summary:
* ΔE_f (raw): -3.2495 eV per atom
* total moment: 0.00 μB per atom

***

# 7
## SrNiSb2 (PBE)

Data for SrNiSb2 after structural relaxation.

Cell: 4.6675 4.6675 4.5157 Å, 90.00 90.00 90.07°
Last column: nearest neighbours and their distance in Å.
Fractional coordinates of all 4 atoms:
Sr1 0.0000 0.0000 0.0000  8 Sb 3.25, 4 Ni 3.30
Ni1 0.5000 0.5000 0.0000  8 Sb 3.25, 4 Sr 3.30
Sb1 0.0000 0.5000 0.5000  4 Ni 3.25, 4 Sr 3.25, 4 Sb 3.30
Sb2 0.5000 0.0000 0.5000  4 Ni 3.25, 4 Sr 3.25, 4 Sb 3.30

Summary:
* ΔE_f (raw): -0.0972 eV per atom
* total moment: 0.06 μB per atom

***

# 8
## KInOs3 (PBE)

Data for KInOs3 after structural relaxation.

Cell: 5.0498 5.0498 5.0498 Å, 90.00 90.00 90.00°
Last column: nearest neighbours and their distance in Å.
Fractional coordinates of all 5 atoms:
K1 0.0000 0.0000 0.0000  12 Os 3.57
In1 0.5000 0.5000 0.5000  6 Os 2.52
Os1 0.0000 0.5000 0.5000  2 In 2.52
Os2 0.5000 0.0000 0.5000  2 In 2.52
Os3 0.5000 0.5000 0.0000  2 In 2.52

Summary:
* energy above the lowest structure with this stoichiometry: 0 meV per atom
* ΔE_f: 2.673 eV/atom
* total moment: 1.18 μB per atom

***

- Which value of total moment does entry 6 give?
  0.00 μB per atom